(1)
Here is a relaxed structure of NaAs2PBr from Alexandria via LeMat-Bulk. Energies are from PBE-GGA.

Output
Formation energy (no corrections)   0.50 eV/f.u.
Total magnetization   0.00 μB/atom

Lattice parameters (Å, degrees): 4.5898 4.5898 8.3265 90.00 90.00 90.00
Fractional coordinates of all 5 atoms:
Na  0.5000  0.5000  0.5000
P  0.0000  0.0000  0.0000
Br  0.0000  0.0000  0.5000
As  0.5000  0.0000  0.0000
As  0.0000  0.5000  0.0000

***

(2)
Here is a relaxed structure of Na2TlSnS4 from Alexandria via LeMat-Bulk. Energies are from PBE-GGA.

Output
Formation energy (no corrections)   -4.77 eV/f.u.
Total magnetization   0.09 μB/atom

Lattice parameters (Å, degrees): 7.5974 6.5143 6.5143 68.90 54.33 54.33
Site moments in Bohr magnetons follow the coordinates.
Fractional coordinates of all 8 atoms:
S  0.6402  0.4812  0.8786  0.09
Sn  0.0000  0.5000  0.5000  0.00
Na  0.5000  0.2502  0.7498  0.00
Tl  0.0000  0.0000  0.0000  0.13
Na  0.5000  0.7498  0.2502  0.00
S  0.0000  0.5188  0.1214  0.09
S  0.3598  0.1214  0.5188  0.09
S  0.0000  0.8786  0.4812  0.09

***

(3)
Here is a relaxed structure of MgScBi from Alexandria via LeMat-Bulk. Energies are from PBE-GGA.

Output
Formation energy from the elements   -0.194 eV/atom
Total magnetization   0.11 μB/atom

Lattice parameters (Å, degrees): 3.8258 10.6508 8.6056 109.04 102.84 90.00
Site moments in Bohr magnetons follow the coordinates.
Fractional coordinates of all 12 atoms:
Sc  0.4170  0.1061  0.8341  0.16
Mg  0.7569  0.3994  0.5138  0.00
Bi  0.3996  0.8182  0.7993  -0.01
Mg  0.2431  0.6006  0.4862  0.00
Sc  0.5830  0.8939  0.1659  0.16
Bi  0.3974  0.3720  0.7947  -0.01
Sc  0.0527  0.3785  0.1054  0.23
Sc  0.9473  0.6215  0.8946  0.23
Bi  0.6026  0.6280  0.2053  -0.01
Mg  0.7745  0.8973  0.5489  0.00
Mg  0.2255  0.1027  0.4511  0.00
Bi  0.6004  0.1818  0.2007  -0.01

***

(4)
Here is a relaxed structure of TaOs3F from Alexandria via LeMat-Bulk. Energies are from PBE-GGA.

Output
Formation energy (no corrections)   5.50 eV/f.u.
Total magnetization   0.00 μB/atom

Lattice parameters (Å, degrees): 4.2039 4.2039 4.2039 90.00 90.00 90.00
Fractional coordinates of all 5 atoms:
Os  0.0000  0.0000  0.5000
Os  0.0000  0.5000  0.0000
F  0.0000  0.0000  0.0000
Os  0.5000  0.0000  0.0000
Ta  0.5000  0.5000  0.5000

***

(5)
Here is a relaxed structure of PrHoPbAu from Alexandria via LeMat-Bulk. Energies are from PBE-GGA.

Output
Formation energy from the elements   -0.594 eV/atom
Total magnetization   0.21 μB/atom

Lattice parameters (Å, degrees): 5.3574 5.3574 5.3574 60.00 60.00 60.00
Site moments in Bohr magnetons follow the coordinates.
Fractional coordinates of all 4 atoms:
Pr  0.2500  0.2500  0.2500  0.21
Ho  0.7500  0.7500  0.7500  0.28
Au  0.0000  0.0000  0.0000  0.04
Pb  0.5000  0.5000  0.5000  -0.02

***

(6)
Here is a relaxed structure of La3Dy4Tm5 from Alexandria via LeMat-Bulk. Energies are from PBE-GGA.

Output
Formation energy from the elements   0.030 eV/atom
Total magnetization   0.00 μB/atom

Lattice parameters (Å, degrees): 7.1354 11.2669 12.8667 151.28 56.62 128.97
Fractional coordinates of all 12 atoms:
Tm  0.7483  0.5024  0.0022
La  0.5848  0.1672  0.3334
Dy  0.1685  0.3365  0.1672
Tm  0.5000  0.0000  0.5000
La  0.0000  0.0000  0.5000
Dy  0.0808  0.1610  0.3287
Tm  0.2517  0.4976  0.9978
Dy  0.8315  0.6635  0.8328
Dy  0.9192  0.8390  0.6713
Tm  0.6691  0.3319  0.1632
La  0.4152  0.8328  0.6666
Tm  0.3309  0.6681  0.8368

***

(7)
Here is a relaxed structure of Pm6TeC2S3 from Alexandria via LeMat-Bulk. Energies are from PBE-GGA.

Output
Formation energy (no corrections)   -15.64 eV/f.u.
Total magnetization   0.00 μB/atom

Lattice parameters (Å, degrees): 3.9649 8.2453 8.9974 101.86 102.73 90.00
Fractional coordinates of all 12 atoms:
S  0.5000  0.5000  0.0000
Pm  0.3244  0.4314  0.6487
Te  0.5000  0.0000  0.0000
Pm  0.0223  0.2839  0.0446
Pm  0.9777  0.7161  0.9554
S  0.1611  0.8353  0.3222
C  0.8291  0.6606  0.6581
Pm  0.6756  0.5686  0.3513
Pm  0.3217  0.8708  0.6435
Pm  0.6783  0.1292  0.3565
C  0.1709  0.3394  0.3419
S  0.8389  0.1647  0.6778

***

(8)
Here is a relaxed structure of BTe2IBr from Alexandria via LeMat-Bulk. Energies are from PBE-GGA.

Output
Formation energy (no corrections)   7.89 eV/f.u.
Total magnetization   0.00 μB/atom

Lattice parameters (Å, degrees): 5.6134 5.6134 5.8360 90.00 90.00 90.00
Fractional coordinates of all 5 atoms:
I  0.0000  0.0000  0.5000
Te  0.0000  0.5000  0.0000
Br  0.0000  0.0000  0.0000
Te  0.5000  0.0000  0.0000
B  0.5000  0.5000  0.5000

***

Volume for every record listed, in sequence, given in Å³/atom: 35.08; 26.58; 26.85; 14.86; 27.18; 32.21; 23.37; 36.78.
Calculated total energy for every record listed, in sequence, given in eV/cell: -17.2; -30.3; -49.6; -41.9; -18.7; -55.2; -78.1; -8.3.